Below is SnWSe2Br after structural relaxation, with properties calculated at the PBE level.

ΔE_f (raw)	1.227	eV/atom
density	6.02	g/cm³
energy relative to the lowest polymorph listed for this composition	976	meV per atom

Cell: 5.333 5.333 5.238 Å, 90.00 90.00 90.00°
Fractional positions:
1 Sn 0.000 0.000 0.000
2 W 0.500 0.500 0.500
3 Se 0.000 0.500 0.000
4 Se 0.500 0.000 0.000
5 Br 0.000 0.000 0.500